1.
{
  "formula": "TcNCl2",
  "functional": "PBEsol",
  "state": "relaxed",
  "formation_energy_uncorrected_ev_per_atom": -0.122,
  "dos_ef_per_ev_cell": 5.65,
  "volume_a3_per_atom": 17.8,
  "magnetic_moment_mub_per_fu": 0.0,
  "sg": "I-42d",
  "cell": [[-2.1764, -6.0780, 0.4092], [-0.6401, 0.3612, -6.4270], [4.0575, -0.5511, 5.0079]],
  "species": ["N", "Cl", "Cl", "Cl", "N", "Tc", "Cl", "Tc"],
  "fractional_positions": [[0.0000, 0.5000, 0.5000], [0.8498, 0.9748, 0.6250], [0.3498, 0.3750, 0.2248], [0.6502, 0.8750, 0.0252], [0.5000, 0.2500, 0.7500], [0.0000, 0.0000, 0.0000], [0.1502, 0.7752, 0.1250], [0.5000, 0.7500, 0.2500]]
}

2.
{
  "formula": "In2TePb2",
  "functional": "PBEsol",
  "state": "relaxed",
  "formation_energy_uncorrected_ev_per_atom": 0.094,
  "dos_ef_per_ev_cell": 2.52,
  "volume_a3_per_atom": 30.0,
  "magnetic_moment_mub_per_fu": 0.0,
  "sg": "I4/mmm",
  "cell": [[-3.3384, 1.6179, 2.2067], [-2.5401, -3.1265, -1.5506], [4.8359, -3.9035, 5.9564]],
  "species": ["In", "Pb", "In", "Te", "Pb"],
  "fractional_positions": [[0.4083, 0.4083, 0.8165], [0.7500, 0.2500, 0.5000], [0.5917, 0.5917, 0.1835], [0.0000, 0.0000, 0.0000], [0.2500, 0.7500, 0.5000]]
}

3.
{
  "formula": "Na2CoSiO4",
  "functional": "PBEsol",
  "state": "relaxed",
  "formation_energy_uncorrected_ev_per_atom": -1.850,
  "volume_a3_per_atom": 12.5,
  "magnetic_moment_mub_per_fu": 3.0,
  "sg": "Pmn2_1",
  "cell": [[-1.6326, 1.9377, -4.6448], [3.9307, -3.6133, -2.8889], [-4.3269, -4.4414, -0.3320]],
  "species": ["O", "Na", "Si", "Na", "O", "O", "O", "Co", "Na", "O", "O", "O", "O", "Na", "Co", "Si"],
  "fractional_positions": [[0.1340, 0.5862, 0.5000], [0.0032, 0.8316, 0.2521], [0.9923, 0.3457, 0.5000], [0.0032, 0.8316, 0.7479], [0.6843, 0.3790, 0.5000], [0.5674, 0.7979, 0.2192], [0.0674, 0.2021, 0.7192], [0.4958, 0.6475, 0.5000], [0.5032, 0.1684, 0.7521], [0.1843, 0.6210, 0.0000], [0.5674, 0.7979, 0.7808], [0.6340, 0.4138, 0.0000], [0.0674, 0.2021, 0.2808], [0.5032, 0.1684, 0.2479], [0.9958, 0.3525, 0.0000], [0.4923, 0.6543, 0.0000]]
}

4.
{
  "formula": "GeTeS2N",
  "functional": "PBEsol",
  "state": "relaxed",
  "formation_energy_uncorrected_ev_per_atom": 0.563,
  "dos_ef_per_ev_cell": 3.06,
  "volume_a3_per_atom": 17.0,
  "magnetic_moment_mub_per_fu": 0.0,
  "sg": "P4/mmm",
  "cell": [[-3.0179, -1.8333, -0.3581], [-0.0094, -0.9240, 4.8092], [-2.5774, 4.0902, 0.7808]],
  "species": ["Ge", "S", "N", "S", "Te"],
  "fractional_positions": [[0.0000, 0.0000, 0.0000], [0.0000, 0.5000, 0.0000], [0.5000, 0.0000, 0.0000], [0.0000, 0.0000, 0.5000], [0.5000, 0.5000, 0.5000]]
}